(1)
Compound: Ba3CeTh2P6
Source: the Alexandria database
Functional: PBE-GGA
Structure: relaxed

Energy of formation from the pure elements = -1.30 eV per atom

```
data_Ba3CeTh2P6
_cell_length_a 7.4877
_cell_length_b 12.9675
_cell_length_c 7.7639
_cell_angle_alpha 90.00
_cell_angle_beta 108.75
_cell_angle_gamma 90.00
_symmetry_space_group_name_H-M 'C 1 2/m 1'
_symmetry_Int_Tables_number 12
_symmetry_space_group_name_Hall '-C 2y'
loop_
_atom_site_label
_atom_site_fract_x
_atom_site_fract_y
_atom_site_fract_z
Ba1 0.0000 0.0000 0.0000
Ba2 0.0000 0.3331 0.0000
Ce1 0.0000 0.5000 0.5000
Th1 0.0000 0.1666 0.5000
P1 0.2342 0.3347 0.7070
P2 0.2386 0.0000 0.7073
```

(2)
Compound: Ba2CeThP4
Source: the Alexandria database
Functional: PBE-GGA
Structure: relaxed

Energy of formation from the pure elements = -1.28 eV per atom

```
data_Ba2CeThP4
_cell_length_a 7.4785
_cell_length_b 4.3181
_cell_length_c 7.7452
_cell_angle_alpha 90.00
_cell_angle_beta 108.80
_cell_angle_gamma 90.00
_symmetry_space_group_name_H-M 'P 1 2/m 1'
_symmetry_Int_Tables_number 10
_symmetry_space_group_name_Hall '-P 2y'
loop_
_atom_site_label
_atom_site_fract_x
_atom_site_fract_y
_atom_site_fract_z
Ba1 0.0000 0.0000 0.0000
Ba2 0.5000 0.5000 0.0000
Ce1 0.0000 0.5000 0.5000
Th1 0.5000 0.0000 0.5000
P1 0.2321 0.0000 0.7045
P2 0.2618 0.5000 0.2923
```

(3)
Compound: BaCe2Pa
Source: the Alexandria database
Functional: PBE-GGA
Structure: relaxed

Energy of formation from the pure elements = 0.60 eV per atom

```
data_BaCe2Pa
_cell_length_a 3.9679
_cell_length_b 3.9679
_cell_length_c 31.2045
_cell_angle_alpha 90.00
_cell_angle_beta 90.00
_cell_angle_gamma 120.00
_symmetry_space_group_name_H-M 'R -3 m'
_symmetry_Int_Tables_number 166
_symmetry_space_group_name_Hall '-R 3 2"'
loop_
_atom_site_label
_atom_site_fract_x
_atom_site_fract_y
_atom_site_fract_z
Ba1 0.0000 0.0000 0.0000
Ce1 0.0000 0.0000 0.1173
Pa1 0.0000 0.0000 0.5000
```

(4)
Compound: Ba2CePaS6
Source: the Alexandria database
Functional: PBE-GGA
Structure: relaxed

Formation energy (no corrections) = -1.952 eV/atom

```
data_Ba2CePaS6
_cell_length_a 7.3059
_cell_length_b 7.6166
_cell_length_c 12.7788
_cell_angle_alpha 90.00
_cell_angle_beta 124.77
_cell_angle_gamma 90.00
_symmetry_space_group_name_H-M 'P 1 21/c 1'
_symmetry_Int_Tables_number 14
_symmetry_space_group_name_Hall '-P 2ybc'
loop_
_atom_site_label
_atom_site_fract_x
_atom_site_fract_y
_atom_site_fract_z
Ba1 0.2318 0.0632 0.2504
Ce1 0.5000 0.0000 0.0000
Pa1 0.0000 0.0000 0.5000
S1 0.1434 0.2105 0.9487
S2 0.2430 0.6968 0.9515
S3 0.3369 0.0274 0.7432
```

Copy entry 3 word for word.
Compound: BaCe2Pa
Source: the Alexandria database
Functional: PBE-GGA
Structure: relaxed

Energy of formation from the pure elements = 0.60 eV per atom

```
data_BaCe2Pa
_cell_length_a 3.9679
_cell_length_b 3.9679
_cell_length_c 31.2045
_cell_angle_alpha 90.00
_cell_angle_beta 90.00
_cell_angle_gamma 120.00
_symmetry_space_group_name_H-M 'R -3 m'
_symmetry_Int_Tables_number 166
_symmetry_space_group_name_Hall '-R 3 2"'
loop_
_atom_site_label
_atom_site_fract_x
_atom_site_fract_y
_atom_site_fract_z
Ba1 0.0000 0.0000 0.0000
Ce1 0.0000 0.0000 0.1173
Pa1 0.0000 0.0000 0.5000
```